Record 1
This record from Alexandria describes a geometry-optimized Rb3CeCu2Br9 structure. The functional is PBE.

The structure in POSCAR format:
```
Rb3CeCu2Br9
1.0
7.7227 0.0000 0.0000
-3.8614 6.6881 0.0000
0.0000 0.0000 9.5731
Rb Ce Cu Br
3 1 2 9
Direct
0.3333 0.6667 0.6990 Rb
0.0000 0.0000 0.0000 Rb
0.6667 0.3333 0.3010 Rb
0.0000 0.0000 0.5000 Ce
0.3333 0.6667 0.1254 Cu
0.6667 0.3333 0.8746 Cu
0.8282 0.1718 0.6725 Br
0.8282 0.6564 0.6725 Br
0.3436 0.1718 0.6725 Br
0.6564 0.8282 0.3275 Br
0.1718 0.3436 0.3275 Br
0.1718 0.8282 0.3275 Br
0.5000 0.0000 0.0000 Br
0.0000 0.5000 0.0000 Br
0.5000 0.5000 0.0000 Br
```

Computed properties:
- V (Å³/f.u.) = 494
- VASP energy (eV per atom) = -3.424

Record 2
This record from Alexandria describes a geometry-optimized Pm3HoTh4S8 structure. The functional is PBE.

The structure in POSCAR format:
```
Pm3HoTh4S8
1.0
-5.0052 5.9950 1.4436
-4.2393 -4.7558 5.0514
7.7923 0.9565 1.1979
Pm Ho Th S
3 1 4 8
Direct
0.5000 0.5000 0.0000 Pm
0.5000 0.5000 0.5000 Pm
0.0000 0.5000 0.5000 Pm
0.0000 0.5000 0.0000 Ho
0.5000 0.0000 0.0000 Th
0.5000 0.0000 0.5000 Th
0.0000 0.0000 0.0000 Th
0.0000 0.0000 0.5000 Th
0.2440 0.7414 0.9973 S
0.2440 0.7413 0.4880 S
0.2514 0.2543 0.5029 S
0.7533 0.7414 0.9973 S
0.2467 0.2586 0.0027 S
0.7486 0.7457 0.4971 S
0.7560 0.2587 0.5120 S
0.7560 0.2586 0.0027 S
```

Computed properties:
- V (Å³/f.u.) = 367
- VASP energy (eV per atom) = -7.018

Energy relative to the elements, uncorrected (computed, meV per atom): -1285 -1922
N(E_F) (computed, states/eV/f.u.): 9.01 5.49